# 1
Entry from Alexandria via LeMat-Bulk: an optimized crystal structure of CeCdAu2 (PBE).

a b c (Å): 4.884 4.884 3.876
angles (deg): 90.00 90.00 90.00
Fractional coordinates of all 4 atoms:
Ce  0.000  0.000  0.000
Cd  0.500  0.500  0.000
Au  0.000  0.500  0.500
Au  0.500  0.000  0.500

SG	No. 123
Fermi-level density of states	7.36	states/eV/cell



# 2
Entry from Alexandria via LeMat-Bulk: an optimized crystal structure of Ce2Cd5Au4 (PBE).

a b c (Å): 10.560 9.860 5.579
angles (deg): 81.20 67.33 31.47
Fractional coordinates of all 11 atoms:
Ce  0.124  0.124  0.876
Ce  0.876  0.876  0.124
Cd  0.000  0.000  0.500
Cd  0.250  0.250  0.250
Cd  0.500  0.500  0.000
Cd  0.500  0.500  0.500
Cd  0.750  0.750  0.750
Au  0.213  0.525  0.475
Au  0.475  0.787  0.213
Au  0.525  0.213  0.787
Au  0.787  0.475  0.525

SG	No. 69
Fermi-level density of states	18.07	states/eV/cell



# 3
Entry from Alexandria via LeMat-Bulk: an optimized crystal structure of CeCd4Au2 (PBE).

a b c (Å): 9.231 9.231 4.208
angles (deg): 90.00 90.00 153.11
Fractional coordinates of all 7 atoms:
Ce  0.000  0.000  0.000
Cd  0.180  0.820  0.500
Cd  0.315  0.685  0.000
Cd  0.685  0.315  0.000
Cd  0.820  0.180  0.500
Au  0.425  0.575  0.500
Au  0.575  0.425  0.500

SG	No. 65
offset from the most stable computed form	14	meV/atom
Fermi-level density of states	9.79	states/eV/cell



# 4
Entry from Alexandria via LeMat-Bulk: an optimized crystal structure of CeCd3Au2 (PBE).

a b c (Å): 8.952 8.952 8.952
angles (deg): 154.20 114.33 71.80
Fractional coordinates of all 12 atoms:
Ce  0.136  0.136  0.000
Ce  0.864  0.864  0.000
Cd  0.117  0.328  0.789
Cd  0.355  0.000  0.355
Cd  0.461  0.672  0.789
Cd  0.539  0.328  0.211
Cd  0.645  0.000  0.645
Cd  0.883  0.672  0.211
Au  0.145  0.500  0.645
Au  0.304  0.804  0.500
Au  0.696  0.196  0.500
Au  0.855  0.500  0.355

SG	No. 71
Fermi-level density of states	16.03	states/eV/cell



# 5
Entry from Alexandria via LeMat-Bulk: an optimized crystal structure of Ce2CdAu (PBE).

a b c (Å): 4.552 4.552 4.656
angles (deg): 90.00 90.00 90.00
Fractional coordinates of all 4 atoms:
Ce  0.000  0.500  0.000
Ce  0.500  0.000  0.000
Cd  0.000  0.000  0.500
Au  0.500  0.500  0.500

SG	No. 123
offset from the most stable computed form	12	meV/atom
Fermi-level density of states	8.95	states/eV/cell



# 6
Entry from Alexandria via LeMat-Bulk: an optimized crystal structure of Ce2Cd3Au (PBE).

a b c (Å): 3.312 5.032 8.715
angles (deg): 90.00 90.00 90.00
Fractional coordinates of all 6 atoms:
Ce  0.000  0.000  0.000
Ce  0.000  0.500  0.472
Cd  0.500  0.000  0.652
Cd  0.500  0.500  0.150
Cd  0.500  0.500  0.816
Au  0.500  0.000  0.320

SG	No. 25
Fermi-level density of states	11.90	states/eV/cell



# 7
Entry from Alexandria via LeMat-Bulk: an optimized crystal structure of Ce5CdAu3 (PBE).

a b c (Å): 9.365 9.365 6.076
angles (deg): 90.00 90.00 120.00
Fractional coordinates of all 18 atoms:
Ce  0.000  0.321  0.250
Ce  0.000  0.679  0.750
Ce  0.321  0.000  0.250
Ce  0.321  0.321  0.750
Ce  0.333  0.667  0.000
Ce  0.333  0.667  0.500
Ce  0.667  0.333  0.000
Ce  0.667  0.333  0.500
Ce  0.679  0.000  0.750
Ce  0.679  0.679  0.250
Cd  0.000  0.000  0.000
Cd  0.000  0.000  0.500
Au  0.000  0.346  0.750
Au  0.000  0.654  0.250
Au  0.346  0.000  0.750
Au  0.346  0.346  0.250
Au  0.654  0.000  0.250
Au  0.654  0.654  0.750

SG	No. 193
Fermi-level density of states	50.72	states/eV/cell



# 8
Entry from Alexandria via LeMat-Bulk: an optimized crystal structure of CeCd11Au (PBE).

a b c (Å): 7.669 7.669 7.640
angles (deg): 98.47 98.47 134.94
Fractional coordinates of all 13 atoms:
Ce  0.000  0.000  0.000
Cd  0.000  0.000  0.500
Cd  0.000  0.500  0.000
Cd  0.009  0.357  0.354
Cd  0.291  0.503  0.785
Cd  0.357  0.009  0.354
Cd  0.497  0.709  0.215
Cd  0.500  0.000  0.000
Cd  0.503  0.291  0.785
Cd  0.643  0.991  0.646
Cd  0.709  0.497  0.215
Cd  0.991  0.643  0.646
Au  0.500  0.500  0.500

SG	No. 12
Fermi-level density of states	12.28	states/eV/cell



# 9
Entry from Alexandria via LeMat-Bulk: an optimized crystal structure of CeCd2Au3 (PBE).

a b c (Å): 4.814 4.814 13.211
angles (deg): 90.00 90.00 120.00
Fractional coordinates of all 12 atoms:
Ce  0.000  0.000  0.250
Ce  0.000  0.000  0.750
Cd  0.333  0.667  0.082
Cd  0.333  0.667  0.418
Cd  0.667  0.333  0.582
Cd  0.667  0.333  0.918
Au  0.000  0.000  0.000
Au  0.000  0.000  0.500
Au  0.333  0.667  0.640
Au  0.333  0.667  0.860
Au  0.667  0.333  0.140
Au  0.667  0.333  0.360

SG	No. 194
Fermi-level density of states	16.27	states/eV/cell



# 10
Entry from Alexandria via LeMat-Bulk: an optimized crystal structure of CeCd3Au3 (PBE).

a b c (Å): 8.557 4.841 8.568
angles (deg): 90.00 119.93 90.00
Fractional coordinates of all 14 atoms:
Ce  0.167  0.250  0.333
Ce  0.833  0.750  0.667
Cd  0.270  0.250  0.989
Cd  0.280  0.750  0.770
Cd  0.490  0.750  0.220
Cd  0.510  0.250  0.780
Cd  0.720  0.250  0.230
Cd  0.730  0.750  0.011
Au  0.033  0.250  0.611
Au  0.111  0.750  0.077
Au  0.422  0.750  0.533
Au  0.578  0.250  0.467
Au  0.889  0.250  0.923
Au  0.967  0.750  0.389

SG	No. 11
offset from the most stable computed form	0	meV/atom
Fermi-level density of states	16.73	states/eV/cell



# 11
Entry from Alexandria via LeMat-Bulk: an optimized crystal structure of Ce3Cd4Au4 (PBE).

a b c (Å): 8.986 8.986 8.986
angles (deg): 152.85 125.81 61.64
Fractional coordinates of all 11 atoms:
Ce  0.000  0.000  0.000
Ce  0.382  0.882  0.500
Ce  0.618  0.118  0.500
Cd  0.022  0.329  0.692
Cd  0.363  0.671  0.692
Cd  0.637  0.329  0.308
Cd  0.978  0.671  0.308
Au  0.235  0.235  0.000
Au  0.311  0.500  0.811
Au  0.689  0.500  0.189
Au  0.765  0.765  0.000

SG	No. 71
offset from the most stable computed form	0	meV/atom
Fermi-level density of states	23.27	states/eV/cell



# 12
Entry from Alexandria via LeMat-Bulk: an optimized crystal structure of CeCdAu4 (PBE).

a b c (Å): 5.257 5.260 5.280
angles (deg): 90.00 119.68 90.00
Fractional coordinates of all 6 atoms:
Ce  0.000  0.000  0.000
Cd  0.500  0.500  0.500
Au  0.175  0.500  0.824
Au  0.335  0.000  0.664
Au  0.665  0.000  0.336
Au  0.825  0.500  0.176

SG	No. 10
Fermi-level density of states	7.46	states/eV/cell



no.,formation energy (meV per atom),energy (eV/atom)
1,-399,-3.7502
2,-327,-3.0139
3,-303,-2.6105
4,-355,-2.8942
5,-350,-4.3647
6,-375,-3.3568
7,-381,-4.8717
8,-121,-1.6043
9,-429,-3.3618
10,-355,-2.9993
11,-463,-3.6054
12,-418,-3.7446